Ca4Hg3Au2 | PBE | optimized geometry

Cell lengths 5.1180, 5.1180, 10.1188 Å; angles 90.00, 90.00, 120.00 degrees
Space group P-3m1 (No. 164)
Symmetry-distinct sites (fractional):
Ca 0.0000 0.0000 0.1709 [2 per cell]
Ca 0.3333 0.6667 0.6131 [2 per cell]
Hg 0.0000 0.0000 0.5000 [1 per cell]
Hg 0.3333 0.6667 0.0056 [2 per cell]
Au 0.3333 0.6667 0.3085 [2 per cell]

The calculation puts the formation energy at -0.596 eV per atom. The density of states at the Fermi level is 4.294 states/eV/cell.

=====

Tb2SmFeN4 | PBE | optimized geometry

Cell lengths 3.406, 11.450, 11.619 Å; angles 90.00, 90.00, 90.00 degrees
Space group Cmcm (No. 63)
Symmetry-distinct sites (fractional):
Tb 0.000 0.132 0.045 [8 per cell]
Sm 0.000 0.379 0.250 [4 per cell]
Fe 0.000 0.347 0.750 [4 per cell]
N 0.000 0.087 0.250 [4 per cell]
N 0.000 0.232 0.632 [8 per cell]
N 0.000 0.500 0.000 [4 per cell]

Its energy relative to the elements, uncorrected is -1.095 eV per atom. The density of states at the Fermi level is 11.958 states/eV/cell.

=====

TmPaIr4 | PBE | optimized geometry

Cell lengths 7.563, 7.563, 7.563 Å; angles 90.00, 90.00, 90.00 degrees
Space group F-43m (No. 216)
Symmetry-distinct sites (fractional):
Tm 0.000 0.000 0.000 [4 per cell]
Pa 0.250 0.250 0.250 [4 per cell]
Ir 0.126 0.126 0.626 [16 per cell]

The calculation puts the formation energy at -0.793 eV per atom. The density of states at the Fermi level is 26.931 states/eV/cell.

=====

KCu2TcRu | PBE | optimized geometry

Cell lengths 4.606, 4.606, 4.642 Å; angles 90.00, 90.00, 90.00 degrees
Space group P4/mmm (No. 123)
Symmetry-distinct sites (fractional):
K 0.000 0.000 0.000 [1 per cell]
Cu 0.000 0.500 0.000 [2 per cell]
Tc 0.500 0.500 0.500 [1 per cell]
Ru 0.000 0.000 0.500 [1 per cell]

The calculation puts the formation energy at 2.496 eV per atom. The density of states at the Fermi level is 3.206 states/eV/cell.

=====

Tm7Ga2Te2 | PBE | optimized geometry

Cell lengths 10.568, 7.714, 7.586 Å; angles 90.00, 90.06, 90.00 degrees
Space group C2/m (No. 12)
Symmetry-distinct sites (fractional):
Tm 0.000 0.000 0.000 [2 per cell]
Tm 0.000 0.500 0.278 [4 per cell]
Tm 0.250 0.250 0.293 [8 per cell]
Ga 0.000 0.170 0.500 [4 per cell]
Te 0.215 0.500 0.000 [4 per cell]

The value obtained for the energy above the most stable polymorph in this dataset is 8.91 kcal/mol of atoms. Its energy relative to the elements, uncorrected is -0.317 eV per atom. The density of states at the Fermi level is 21.534 states/eV/cell.

=====

SmAl4Pd2Au | PBE | optimized geometry

Cell lengths 4.3080, 4.3080, 27.1867 Å; angles 90.00, 90.00, 120.00 degrees
Space group R-3m (No. 166, hexagonal axes)
Symmetry-distinct sites (fractional):
Sm 0.0000 0.0000 0.0000 [3 per cell]
Al 0.0000 0.0000 0.1266 [6 per cell]
Al 0.0000 0.0000 0.4019 [6 per cell]
Pd 0.0000 0.0000 0.2436 [6 per cell]
Au 0.0000 0.0000 0.5000 [3 per cell]

The calculation puts the formation energy at -0.644 eV per atom. The density of states at the Fermi level is 9.405 states/eV/cell.

=====

TaMnNb2Se6 | PBE | optimized geometry

Cell lengths 12.988, 12.497, 5.854 Å; angles 90.00, 116.26, 90.00 degrees
Space group C2/c (No. 15)
Symmetry-distinct sites (fractional):
Ta 0.000 0.059 0.250 [4 per cell]
Mn 0.000 0.163 0.750 [4 per cell]
Nb 0.087 0.413 0.665 [8 per cell]
Se 0.122 0.220 0.564 [8 per cell]
Se 0.128 0.389 0.136 [8 per cell]
Se 0.155 0.070 0.083 [8 per cell]

Its energy relative to the elements, uncorrected is -0.589 eV per atom. The density of states at the Fermi level is 18.479 states/eV/cell.

=====

FeTc2Hg | PBE | optimized geometry

Cell lengths 2.8124, 2.8124, 27.5404 Å; angles 90.00, 90.00, 120.00 degrees
Space group R3m (No. 160, hexagonal axes)
Symmetry-distinct sites (fractional):
Fe 0.0000 0.0000 0.0000 [3 per cell]
Tc 0.0000 0.0000 0.2543 [3 per cell]
Tc 0.0000 0.0000 0.5130 [3 per cell]
Hg 0.0000 0.0000 0.7530 [3 per cell]

The calculation puts the formation energy at 0.330 eV per atom. The density of states at the Fermi level is 9.758 states/eV/cell.